VASP calculation (GGA+U) on an optimized crystal structure of NaTbVF6.

Output
For the total energy, the calculation gives -0.446 Ry per atom. The space-group type is P4_2nm. The total magnetization is 6.00 μB/cell.

```
18
Lattice="5.1332 0.0000 0.0000 0.0000 5.1332 0.0000 0.0000 0.0000 10.3248" Properties=species:S:1:pos:R:3 pbc="T T T"
F 4.1272 1.0060 8.4758
F 1.5606 1.5606 3.3134
F 4.1840 0.9492 5.2038
F 0.9492 4.1840 5.2038
F 1.5032 1.5032 6.9783
F 4.0698 1.0634 1.8159
F 1.6174 1.6174 0.0414
F 3.5726 3.5726 3.3134
F 1.0060 4.1272 8.4758
F 1.0634 4.0698 1.8159
F 3.6300 3.6300 6.9783
F 3.5158 3.5158 0.0414
Tb 0.0000 0.0000 3.4311
Tb 2.5666 2.5666 8.5935
Na 2.5666 2.5666 5.1544
Na 0.0000 0.0000 10.3168
V 2.5666 2.5666 1.7225
V 0.0000 0.0000 6.8849
```